Compound: Li2Ca3Ga
Source: Alexandria via LeMat-Bulk
Functional: PBE
Structure: relaxed

Results
DOS(E_F) in states/eV per cell: 9.943
E_form in eV/atom: -0.168
E in eV/atom: -2.3108
Crystal system: trigonal
ρ in g/cm3: 2.0

a = 5.3800 Å, b = 5.3800 Å, c = 13.2677 Å
α = 90.00°, β = 90.00°, γ = 120.00°
With the nearest neighbours (Å) after each atom.
Element x y z (fractional)
Li1 0.0000 0.0000 0.5000  8 Ca 3.15-3.28
Li2 0.3333 0.6667 0.1735  8 Ca 3.27-3.55
Li3 0.6667 0.3333 0.8265  8 Ca 3.27-3.55
Li4 0.0000 0.0000 0.0000  8 Ca 3.35-3.48
Ca1 0.3333 0.6667 0.4196  4 Ga 3.24-3.30, 4 Li 3.27-3.28
Ca2 0.6667 0.3333 0.0940  1 Ga 3.21, 7 Li 3.28-3.55
Ca3 0.0000 0.0000 0.7378  5 Li 3.15-3.48, 3 Ga 3.26
Ca4 0.0000 0.0000 0.2622  5 Li 3.15-3.48, 3 Ga 3.26
Ca5 0.3333 0.6667 0.9060  1 Ga 3.21, 7 Li 3.28-3.55
Ca6 0.6667 0.3333 0.5804  4 Ga 3.24-3.30, 4 Li 3.27-3.28
Ga1 0.3333 0.6667 0.6638  8 Ca 3.21-3.30
Ga2 0.6667 0.3333 0.3362  8 Ca 3.21-3.30